First-principles (PBE-GGA) data for a relaxed PbCl2 crystal, as listed in Alexandria.

```
PbCl2
1.0
2.518 -4.362 0.000
2.518 4.362 0.000
0.000 0.000 7.000
Cl Pb
4 2
Cartesian
0.000 0.000 3.500 Cl
2.518 1.454 1.750 Cl
0.000 0.000 0.000 Cl
2.518 -1.454 5.250 Cl
2.518 -1.454 1.750 Pb
2.518 1.454 5.250 Pb
```

Values from the calculation:
* formation energy (no corrections): -0.965 eV/atom
* total moment: 0.0 μB per cell

***

First-principles (PBE-GGA) data for a relaxed NaTlCl3 crystal, as listed in Alexandria.

```
NaTlCl3
1.0
-4.106 2.620 2.153
0.953 -2.353 4.681
3.254 3.995 1.345
Tl Cl Na
1 3 1
Cartesian
0.051 2.131 4.090 Tl
1.627 1.997 0.673 Cl
0.476 -1.176 2.341 Cl
-2.053 1.310 1.076 Cl
0.000 0.000 0.000 Na
```

Values from the calculation:
* formation energy (no corrections): -0.871 eV/atom
* total moment: 1.0 μB per cell

***

First-principles (PBE-GGA) data for a relaxed HfCuS2N crystal, as listed in Alexandria.

```
HfCuS2N
1.0
4.573 0.000 0.000
0.000 4.573 0.000
0.000 0.000 3.627
Cu S N Hf
1 2 1 1
Cartesian
0.000 0.000 0.000 Cu
2.287 0.000 0.000 S
0.000 2.287 0.000 S
0.000 0.000 1.813 N
2.287 2.287 1.813 Hf
```

Values from the calculation:
* distance to the lowest polymorph of the same formula: 214.6 meV/atom
* formation energy (no corrections): 0.371 eV/atom
* total moment: 1.1 μB per cell

***

First-principles (PBE-GGA) data for a relaxed LiHo7In4 crystal, as listed in Alexandria.

```
LiHo7In4
1.0
5.501 0.000 0.000
2.751 8.879 0.036
2.751 0.378 7.200
Ho In Li
7 4 1
Cartesian
8.252 3.276 5.795 Ho
5.501 5.587 5.239 Ho
2.751 0.000 0.000 Ho
2.751 5.980 1.441 Ho
8.252 7.945 4.135 Ho
2.751 1.312 3.101 Ho
5.501 3.670 1.997 Ho
2.751 3.016 0.443 In
5.501 7.045 2.574 In
8.252 6.241 6.793 In
5.501 2.211 4.662 In
0.000 0.000 0.000 Li
```

Values from the calculation:
* total moment: 0.6 μB per cell
* formation enthalpy at 0 K: -0.96 eV per formula unit

***

First-principles (PBE-GGA) data for a relaxed ScAlSi2Ni5 crystal, as listed in Alexandria.

```
ScAlSi2Ni5
1.0
-0.958 -3.708 0.574
0.868 -0.795 -3.689
7.533 -1.617 2.120
Ni Sc Si Al
5 1 2 1
Cartesian
3.722 -3.060 -0.497 Ni
4.986 -3.027 1.825 Ni
5.898 -1.571 -0.306 Ni
2.502 -0.842 -1.262 Ni
1.590 -2.298 0.869 Ni
3.766 -0.809 1.060 Sc
6.429 -3.641 0.265 Si
1.014 -2.479 -1.259 Si
0.000 0.000 0.000 Al
```

Values from the calculation:
* formation energy (no corrections): -0.348 eV/atom
* total moment: 0.0 μB per cell

***

First-principles (PBE-GGA) data for a relaxed LaTeRu2 crystal, as listed in Alexandria.

```
LaTeRu2
1.0
-2.776 -3.108 1.604
0.993 -2.017 3.858
-2.897 2.576 3.596
Ru Te La
2 1 1
Cartesian
-2.064 -4.496 5.627 Ru
-2.059 -1.903 4.364 Ru
-1.170 -0.637 2.264 Te
-3.510 -1.912 6.793 La
```

Values from the calculation:
* distance to the lowest polymorph of the same formula: 138.6 meV/atom
* formation energy (no corrections): -0.190 eV/atom
* total moment: 0.0 μB per cell

***

First-principles (PBE-GGA) data for a relaxed Ac2TbNpO6 crystal, as listed in Alexandria.

```
Ac2TbNpO6
1.0
6.110 0.000 -0.022
0.000 6.293 0.000
0.023 0.000 8.762
Np O Tb Ac
2 12 2 4
Cartesian
0.000 3.147 0.000 Np
3.066 0.000 4.370 Np
4.254 1.897 8.176 O
4.273 1.923 4.940 O
1.859 4.370 3.800 O
0.775 2.800 6.548 O
2.315 5.947 6.584 O
3.818 0.347 2.156 O
4.945 5.044 4.933 O
4.925 5.070 8.169 O
5.358 3.494 2.192 O
1.878 4.396 0.564 O
1.207 1.224 0.570 O
1.188 1.250 3.806 O
0.011 3.147 4.381 Tb
3.055 0.000 -0.011 Tb
0.092 5.976 2.193 Ac
6.040 0.317 6.547 Ac
3.159 3.464 6.562 Ac
2.974 2.830 2.177 Ac
```

Values from the calculation:
* formation energy (no corrections): -3.172 eV/atom
* total moment: 8.0 μB per cell

***

First-principles (PBE-GGA) data for a relaxed Li2HfTePd crystal, as listed in Alexandria.

```
Li2HfTePd
1.0
5.313 0.000 0.000
0.000 4.820 0.000
0.000 0.000 5.313
Te Hf Li Pd
1 1 2 1
Cartesian
2.657 2.410 2.657 Te
0.000 0.000 0.000 Hf
2.657 0.000 0.000 Li
0.000 0.000 2.657 Li
0.000 2.410 0.000 Pd
```

Values from the calculation:
* formation energy (no corrections): 0.742 eV/atom
* total moment: 1.4 μB per cell

***

First-principles (PBE-GGA) data for a relaxed Li2LaAg2 crystal, as listed in Alexandria.

```
Li2LaAg2
1.0
8.113 0.000 0.000
0.000 8.113 0.000
0.000 0.000 3.219
Li Ag La
4 4 2
Cartesian
1.218 5.275 1.609 Li
2.839 1.218 1.609 Li
5.275 6.895 1.609 Li
6.895 2.839 1.609 Li
2.989 7.046 0.000 Ag
7.046 5.124 0.000 Ag
1.068 2.989 0.000 Ag
5.124 1.068 0.000 Ag
4.057 4.057 0.000 La
0.000 0.000 0.000 La
```

Values from the calculation:
* distance to the lowest polymorph of the same formula: 136.2 meV/atom
* total moment: 0.0 μB per cell
* formation enthalpy at 0 K: -0.36 eV per formula unit

***

First-principles (PBE-GGA) data for a relaxed RbSc3Sn crystal, as listed in Alexandria.

```
RbSc3Sn
1.0
5.643 0.000 0.000
0.000 5.643 0.000
0.000 0.000 5.643
Sc Rb Sn
3 1 1
Cartesian
2.821 0.000 0.000 Sc
0.000 2.821 0.000 Sc
0.000 0.000 2.821 Sc
2.821 2.821 2.821 Rb
0.000 0.000 0.000 Sn
```

Values from the calculation:
* distance to the lowest polymorph of the same formula: 0.0 meV/atom
* total moment: 3.7 μB per cell
* formation enthalpy at 0 K: 2.22 eV per formula unit

***

First-principles (PBE-GGA) data for a relaxed Gd2AlSi crystal, as listed in Alexandria.

```
Gd2AlSi
1.0
-0.550 3.693 0.429
-3.603 -0.423 -0.980
-1.584 -0.960 6.240
Al Gd Si
1 2 1
Cartesian
-2.077 1.635 -0.275 Al
-1.163 -0.705 4.583 Gd
-0.420 -0.255 1.656 Gd
-2.868 1.155 2.844 Si
```

Values from the calculation:
* distance to the lowest polymorph of the same formula: 0.0 meV/atom
* formation energy (no corrections): -0.444 eV/atom
* total moment: 14.6 μB per cell

***

First-principles (PBE-GGA) data for a relaxed NpTe5Pb4 crystal, as listed in Alexandria.

```
NpTe5Pb4
1.0
-3.034 -1.148 -3.266
-1.680 -3.309 2.723
-8.384 12.829 6.524
Pb Te Np
4 5 1
Cartesian
-4.316 4.260 2.513 Pb
-4.499 -0.115 0.975 Pb
-8.599 8.487 5.006 Pb
-8.782 4.113 3.469 Pb
-2.357 -2.228 -0.271 Te
-10.995 6.297 4.757 Te
-6.439 6.355 3.748 Te
-6.659 2.018 2.233 Te
-2.103 2.075 1.224 Te
0.000 0.000 0.000 Np
```

Values from the calculation:
* formation energy (no corrections): -0.397 eV/atom
* total moment: 4.8 μB per cell

***

First-principles (PBE-GGA) data for a relaxed Tb4Co2Pd crystal, as listed in Alexandria.

```
Tb4Co2Pd
1.0
7.319 -1.052 -0.153
-1.580 7.224 0.152
-2.757 -3.189 6.074
Co Tb Pd
4 8 2
Cartesian
3.832 0.753 0.706 Co
-2.286 0.688 5.369 Co
1.355 0.181 3.788 Co
3.064 4.344 2.284 Co
3.281 -2.212 4.429 Tb
1.326 2.480 1.507 Tb
4.990 3.153 0.718 Tb
3.658 1.518 3.753 Tb
5.808 -0.485 2.167 Tb
2.118 -1.131 1.491 Tb
-0.378 -1.686 4.566 Tb
0.025 2.016 5.353 Tb
-0.732 3.562 3.112 Pd
-1.580 7.223 0.153 Pd
```

Values from the calculation:
* total moment: 0.0 μB per cell
* formation enthalpy at 0 K: -2.20 eV per formula unit

***

First-principles (PBE-GGA) data for a relaxed InTe2W crystal, as listed in Alexandria.

```
InTe2W
1.0
-4.685 2.065 0.249
-0.625 -3.212 -3.945
-1.005 -2.549 2.234
In W Te
1 1 2
Cartesian
-0.815 -2.880 -0.856 In
-2.845 -0.242 1.241 W
-2.655 -0.574 -1.848 Te
0.000 0.000 0.000 Te
```

Values from the calculation:
* formation energy (no corrections): 0.825 eV/atom
* total moment: 1.3 μB per cell

***

First-principles (PBE-GGA) data for a relaxed Sc2Ti2AlCo5 crystal, as listed in Alexandria.

```
Sc2Ti2AlCo5
1.0
-0.138 -2.040 -2.210
9.419 1.452 -1.927
2.372 -7.002 6.315
Sc Co Ti Al
4 10 4 2
Cartesian
2.399 -2.046 1.739 Sc
5.051 -5.320 4.596 Sc
9.391 -3.504 2.649 Sc
6.739 -0.229 -0.208 Sc
4.095 -4.421 1.774 Co
9.759 -6.513 3.353 Co
1.117 -4.521 2.053 Co
7.557 -3.169 0.403 Co
6.750 -5.097 2.233 Co
4.903 -2.493 -0.055 Co
9.356 -1.012 -1.700 Co
2.297 -6.578 3.878 Co
1.893 -1.076 -1.175 Co
4.640 -0.294 -2.069 Co
9.039 -1.312 0.648 Ti
3.773 -0.397 0.131 Ti
8.017 -5.153 4.257 Ti
2.752 -4.238 3.740 Ti
5.895 -2.775 2.194 Al
0.000 0.000 0.000 Al
```

Values from the calculation:
* total moment: 0.0 μB per cell
* formation enthalpy at 0 K: -2.02 eV per formula unit

***

First-principles (PBE-GGA) data for a relaxed AcNCl3 crystal, as listed in Alexandria.

```
AcNCl3
1.0
7.783 0.251 -1.100
3.731 6.955 0.207
-1.084 1.031 8.156
Cl Ac N
6 2 2
Cartesian
5.541 1.164 1.909 Cl
1.603 2.511 2.572 Cl
6.147 5.381 2.218 Cl
4.968 7.708 5.892 Cl
5.082 2.350 5.249 Cl
8.208 5.090 5.146 Cl
7.113 7.495 3.953 Ac
7.241 2.974 3.412 Ac
10.520 5.903 -0.016 N
3.840 4.569 7.383 N
```

Values from the calculation:
* formation energy (no corrections): -0.866 eV/atom
* total moment: 6.0 μB per cell

***

First-principles (PBE-GGA) data for a relaxed PuSnN crystal, as listed in Alexandria.

```
PuSnN
1.0
-3.409 -1.873 -0.464
1.065 -2.613 2.717
-3.248 4.522 5.622
N Sn Pu
2 2 2
Cartesian
-2.360 -2.815 1.796 N
-1.188 -0.573 0.669 N
-4.214 0.331 2.725 Sn
-2.582 0.803 5.363 Sn
-1.094 -1.268 2.787 Pu
-5.702 2.402 5.301 Pu
```

Values from the calculation:
* distance to the lowest polymorph of the same formula: 0.0 meV/atom
* formation energy (no corrections): -0.874 eV/atom
* total moment: 8.6 μB per cell

***

First-principles (PBE-GGA) data for a relaxed IrF crystal, as listed in Alexandria.

```
IrF
1.0
7.988 0.000 0.000
0.000 7.988 0.000
0.000 0.000 7.988
F Ir
8 8
Cartesian
5.971 2.017 5.971 F
1.977 6.011 1.977 F
6.011 1.977 1.977 F
5.971 5.971 2.017 F
1.977 1.977 6.011 F
2.017 5.971 5.971 F
2.017 2.017 2.017 F
6.011 6.011 6.011 F
7.116 0.872 0.872 Ir
0.872 7.116 0.872 Ir
3.122 3.122 3.122 Ir
7.116 7.116 7.116 Ir
4.866 4.866 3.122 Ir
4.866 3.122 4.866 Ir
0.872 0.872 7.116 Ir
3.122 4.866 4.866 Ir
```

Values from the calculation:
* distance to the lowest polymorph of the same formula: 656.3 meV/atom
* formation energy (no corrections): 0.074 eV/atom
* total moment: 8.0 μB per cell